Entry 1:
## LiAc2Tm (GGA-PBE)

Data for a geometry-optimized LiAc2Tm structure.

## Properties
SG: Fm-3m (225)
Energy above the most stable polymorph in this dataset (meV/atom): 39
Formation energy from the elements (eV per formula unit): 0.5

Cell and atoms, written as CIF:
```
data_LiAc2Tm
_space_group_name_H-M_alt 'P 1'
_space_group_IT_number 1
_cell_length_a 5.862
_cell_length_b 5.862
_cell_length_c 5.862
_cell_angle_alpha 60.00
_cell_angle_beta 60.00
_cell_angle_gamma 60.00
loop_
_space_group_symop_operation_xyz
'x,y,z'
loop_
_atom_site_label
_atom_site_type_symbol
_atom_site_fract_x
_atom_site_fract_y
_atom_site_fract_z
_atom_site_occupancy
Ac1 Ac 0.250 0.250 0.250 1
Ac2 Ac 0.750 0.750 0.750 1
Tm1 Tm 0.000 0.000 0.000 1
Li1 Li 0.500 0.500 0.500 1
```

=====

Entry 2:
## Pr6Ge2SbTe3 (GGA-PBE)

Data for a geometry-optimized Pr6Ge2SbTe3 structure.

## Properties
SG: C2/m (12)
Uncorrected formation energy (eV/atom): -1.278

Cell and atoms, written as CIF:
```
data_Pr6Ge2SbTe3
_space_group_name_H-M_alt 'P 1'
_space_group_IT_number 1
_cell_length_a 4.462
_cell_length_b 9.041
_cell_length_c 10.055
_cell_angle_alpha 103.51
_cell_angle_beta 102.82
_cell_angle_gamma 90.00
loop_
_space_group_symop_operation_xyz
'x,y,z'
loop_
_atom_site_label
_atom_site_type_symbol
_atom_site_fract_x
_atom_site_fract_y
_atom_site_fract_z
_atom_site_occupancy
Pr1 Pr 0.333 0.896 0.666 1
Pr2 Pr 0.673 0.570 0.345 1
Pr3 Pr 0.667 0.104 0.334 1
Pr4 Pr 0.009 0.250 0.018 1
Pr5 Pr 0.991 0.750 0.982 1
Pr6 Pr 0.327 0.430 0.655 1
Ge1 Ge 0.832 0.665 0.665 1
Ge2 Ge 0.168 0.335 0.335 1
Sb1 Sb 0.500 0.000 0.000 1
Te1 Te 0.500 0.500 0.000 1
Te2 Te 0.836 0.167 0.672 1
Te3 Te 0.164 0.833 0.328 1
```

=====

Question: Number 1 is which compound?
Answer: LiAc2Tm

=====

What did the first record say?
## LiAc2Tm (GGA-PBE)

Data for a geometry-optimized LiAc2Tm structure.

## Properties
SG: Fm-3m (225)
Energy above the most stable polymorph in this dataset (meV/atom): 39
Formation energy from the elements (eV per formula unit): 0.5

Cell and atoms, written as CIF:
```
data_LiAc2Tm
_space_group_name_H-M_alt 'P 1'
_space_group_IT_number 1
_cell_length_a 5.862
_cell_length_b 5.862
_cell_length_c 5.862
_cell_angle_alpha 60.00
_cell_angle_beta 60.00
_cell_angle_gamma 60.00
loop_
_space_group_symop_operation_xyz
'x,y,z'
loop_
_atom_site_label
_atom_site_type_symbol
_atom_site_fract_x
_atom_site_fract_y
_atom_site_fract_z
_atom_site_occupancy
Ac1 Ac 0.250 0.250 0.250 1
Ac2 Ac 0.750 0.750 0.750 1
Tm1 Tm 0.000 0.000 0.000 1
Li1 Li 0.500 0.500 0.500 1
```

=====

What did the second record say?
## Pr6Ge2SbTe3 (GGA-PBE)

Data for a geometry-optimized Pr6Ge2SbTe3 structure.

## Properties
SG: C2/m (12)
Uncorrected formation energy (eV/atom): -1.278

Cell and atoms, written as CIF:
```
data_Pr6Ge2SbTe3
_space_group_name_H-M_alt 'P 1'
_space_group_IT_number 1
_cell_length_a 4.462
_cell_length_b 9.041
_cell_length_c 10.055
_cell_angle_alpha 103.51
_cell_angle_beta 102.82
_cell_angle_gamma 90.00
loop_
_space_group_symop_operation_xyz
'x,y,z'
loop_
_atom_site_label
_atom_site_type_symbol
_atom_site_fract_x
_atom_site_fract_y
_atom_site_fract_z
_atom_site_occupancy
Pr1 Pr 0.333 0.896 0.666 1
Pr2 Pr 0.673 0.570 0.345 1
Pr3 Pr 0.667 0.104 0.334 1
Pr4 Pr 0.009 0.250 0.018 1
Pr5 Pr 0.991 0.750 0.982 1
Pr6 Pr 0.327 0.430 0.655 1
Ge1 Ge 0.832 0.665 0.665 1
Ge2 Ge 0.168 0.335 0.335 1
Sb1 Sb 0.500 0.000 0.000 1
Te1 Te 0.500 0.500 0.000 1
Te2 Te 0.836 0.167 0.672 1
Te3 Te 0.164 0.833 0.328 1
```